[1]
Entry from Alexandria via LeMat-Bulk: an optimized crystal structure of Ga5Ag2Pd12 (PBE).

Cell lengths 5.5346, 7.7461, 8.3804 Å; angles 103.27, 90.00, 110.93 degrees
Closest atoms and distances in Å follow each position.
Fractional coordinates of all 19 atoms:
1 Pd 0.0945 0.1891 0.2945  1 Ga 2.45, 2 Pd 2.73
2 Ga 0.6477 0.2954 0.8567  7 Pd 2.49-2.60
3 Ga 0.3098 0.6196 0.6385  7 Pd 2.52-2.59
4 Pd 0.4870 0.9741 0.6627  2 Ga 2.49-2.52
5 Pd 0.4051 0.3094 0.5966  4 Ga 2.56-2.60, 4 Pd 2.76-2.83
6 Pd 0.9493 0.3935 0.1139  3 Ga 2.52-2.59, 5 Pd 2.73-2.82, 1 Ag 2.77
7 Pd 0.5559 0.6065 0.8861  3 Ga 2.52-2.59, 5 Pd 2.73-2.82, 1 Ag 2.77
8 Pd 0.4441 0.3935 0.1139  3 Ga 2.52-2.59, 5 Pd 2.73-2.82, 1 Ag 2.77
9 Pd 0.5949 0.6906 0.4034  4 Ga 2.56-2.60, 4 Pd 2.76-2.83
10 Ag 0.2516 0.0000 0.0000  2 Ag 2.75-2.78, 4 Pd 2.77-2.87, 2 Ga 3.03
11 Ga 0.6902 0.3804 0.3615  7 Pd 2.52-2.59
12 Pd 0.0507 0.6065 0.8861  3 Ga 2.52-2.59, 5 Pd 2.73-2.82, 1 Ag 2.77
13 Ag 0.7484 0.0000 0.0000  2 Ag 2.75-2.78, 4 Pd 2.77-2.87, 2 Ga 3.03
14 Pd 0.9055 0.8109 0.7055  1 Ga 2.45, 2 Pd 2.73
15 Ga 0.0000 0.0000 0.5000  6 Pd 2.45-2.59
16 Pd 0.5130 0.0259 0.3373  2 Ga 2.49-2.52
17 Pd 0.9043 0.3094 0.5966  4 Ga 2.56-2.60, 4 Pd 2.76-2.83
18 Pd 0.0957 0.6906 0.4034  4 Ga 2.56-2.60, 4 Pd 2.76-2.83
19 Ga 0.3523 0.7046 0.1433  7 Pd 2.49-2.60

For the total magnetization, the calculation gives 0.00 μB per formula unit. The calculation puts the energy of formation from the pure elements at -315 meV per atom. The calculated volume is 17.1 Å³/atom. The calculation puts the total energy at -4.691 eV per atom. As for the space-group type: C2/m, No. 12.

***

[2]
Entry from Alexandria via LeMat-Bulk: an optimized crystal structure of CaRe2I (PBE).

Cell lengths 8.2001, 8.2001, 6.3851 Å; angles 50.05, 50.05, 90.00 degrees
Closest atoms and distances in Å follow each position.
Fractional coordinates of all 8 atoms:
1 Ca 0.2500 0.7500 0.5000  2 I 2.67
2 Re 0.8750 0.9276 0.7500  2 I 2.70, 2 Re 2.81
3 Ca 0.5000 0.5000 0.0000  2 I 2.67
4 I 0.0000 0.0000 0.0000  2 Ca 2.67, 4 Re 2.70
5 I 0.7500 0.2500 0.5000  2 Ca 2.67, 4 Re 2.70
6 Re 0.6776 0.1250 0.2500  2 I 2.70, 2 Re 2.81
7 Re 0.3750 0.3224 0.7500  2 I 2.70, 2 Re 2.81
8 Re 0.0724 0.6250 0.2500  2 I 2.70, 2 Re 2.81

For the total magnetization, the calculation gives 0.89 μB per formula unit. The calculated volume is 22.5 Å³/atom. The calculation puts the total energy at -5.559 eV per atom. As for the formation energy (no corrections): 1553 meV/atom. For the energy above the most stable polymorph in this dataset, the calculation gives 0.049 eV per atom. As for the space-group type: I-42d, No. 122.

***

[3]
Entry from Alexandria via LeMat-Bulk: an optimized crystal structure of NaTbSn (PBE).

Cell lengths 3.4478, 3.4478, 7.8170 Å; angles 102.74, 102.74, 90.00 degrees
Closest atoms and distances in Å follow each position.
Fractional coordinates of all 3 atoms:
1 Na 0.6001 0.6001 0.2003  4 Sn 3.34, 4 Na 3.45
2 Tb 0.3037 0.3037 0.6074  4 Sn 3.23, 4 Tb 3.45
3 Sn 0.9462 0.9462 0.8923  4 Tb 3.23, 4 Na 3.34, 4 Sn 3.45

For the total magnetization, the calculation gives 0.00 μB per formula unit. The calculation puts the energy of formation from the pure elements at -192 meV per atom. The calculated volume is 29.4 Å³/atom. The calculation puts the total energy at -3.509 eV per atom. As for the space-group type: I4mm, No. 107.

***

[4]
Entry from Alexandria via LeMat-Bulk: an optimized crystal structure of NaInOsW2 (PBE).

Cell lengths 4.7657, 5.1836, 4.7657 Å; angles 90.00, 90.00, 90.00 degrees
Closest atoms and distances in Å follow each position.
Fractional coordinates of all 5 atoms:
1 W 0.5000 0.0000 0.0000  2 Os 2.38
2 Na 0.0000 0.5000 0.0000  2 Os 2.59
3 W 0.0000 0.0000 0.5000  2 Os 2.38
4 In 0.5000 0.5000 0.5000  4 Na 3.37, 8 W 3.52
5 Os 0.0000 0.0000 0.0000  4 W 2.38, 2 Na 2.59

For the total magnetization, the calculation gives 0.00 μB per formula unit. The calculation puts the energy of formation from the pure elements at 1624 meV per atom. The calculated volume is 23.5 Å³/atom. The calculation puts the total energy at -6.615 eV per atom. As for the space-group type: P4/mmm, No. 123.

***

[5]
Entry from Alexandria via LeMat-Bulk: an optimized crystal structure of Mn2AgAs (PBE).

Cell lengths 7.0056, 7.0056, 5.6503 Å; angles 51.69, 51.69, 90.00 degrees
Closest atoms and distances in Å follow each position.
Fractional coordinates of all 8 atoms:
1 Mn 0.3750 0.4040 0.7500  2 As 2.43, 2 Ag 2.71
2 Mn 0.8750 0.8460 0.7500  2 As 2.43, 2 Ag 2.71
3 As 0.2500 0.7500 0.5000  4 Mn 2.43, 2 Ag 2.72
4 Mn 0.1540 0.6250 0.2500  2 As 2.43, 2 Ag 2.71
5 Ag 0.7500 0.2500 0.5000  4 Mn 2.71, 2 As 2.72
6 As 0.5000 0.5000 0.0000  4 Mn 2.43, 2 Ag 2.72
7 Mn 0.5960 0.1250 0.2500  2 As 2.43, 2 Ag 2.71
8 Ag 0.0000 0.0000 0.0000  4 Mn 2.71, 2 As 2.72

For the total magnetization, the calculation gives 6.41 μB per formula unit. The calculation puts the energy of formation from the pure elements at 366 meV per atom. The calculated volume is 16.7 Å³/atom. The calculation puts the total energy at -6.094 eV per atom. As for the space-group type: I-42d, No. 122.

***

[6]
Entry from Alexandria via LeMat-Bulk: an optimized crystal structure of HfSnO2F (PBE).

Cell lengths 4.1447, 4.1447, 4.3465 Å; angles 90.00, 90.00, 90.00 degrees
Closest atoms and distances in Å follow each position.
Fractional coordinates of all 5 atoms:
1 Hf 0.0000 0.0000 0.0000  4 O 2.07, 2 F 2.17
2 O 0.0000 0.5000 0.0000  2 Hf 2.07
3 O 0.5000 0.0000 0.0000  2 Hf 2.07
4 F 0.0000 0.0000 0.5000  2 Hf 2.17
5 Sn 0.5000 0.5000 0.5000  4 F 2.93, 8 O 3.00

For the total magnetization, the calculation gives 0.00 μB per formula unit. The calculated volume is 14.9 Å³/atom. The calculation puts the total energy at -7.468 eV per atom. As for the formation energy (no corrections): -2319 meV/atom. As for the space-group type: P4/mmm, No. 123.

***

[7]
Entry from Alexandria via LeMat-Bulk: an optimized crystal structure of USbH (PBE).

Cell lengths 3.4137, 3.4137, 6.5030 Å; angles 105.22, 105.22, 90.00 degrees
Closest atoms and distances in Å follow each position.
Fractional coordinates of all 3 atoms:
1 H 0.9393 0.9393 0.8787  1 Sb 1.87
2 Sb 0.7846 0.7846 0.5691  1 H 1.87
3 U 0.1261 0.1261 0.2522  1 H 2.26

For the total magnetization, the calculation gives 3.46 μB per formula unit. The calculated volume is 23.5 Å³/atom. The calculation puts the total energy at -5.689 eV per atom. For the energy above the most stable polymorph in this dataset, the calculation gives 0.890 eV per atom. As for the space-group type: I4mm, No. 107.

***

[8]
Entry from Alexandria via LeMat-Bulk: an optimized crystal structure of ScCu2 (PBE).

Cell lengths 5.1912, 5.1912, 6.4275 Å; angles 70.53, 70.53, 35.07 degrees
Closest atoms and distances in Å follow each position.
Fractional coordinates of all 6 atoms:
1 Cu 0.1566 0.1566 0.4548  6 Cu 2.54-2.64, 3 Sc 2.72-2.75
2 Sc 0.1597 0.1597 0.8768  8 Cu 2.72-2.87, 1 Sc 3.00
3 Cu 0.4687 0.4687 0.7307  5 Cu 2.54-2.81
4 Sc 0.8403 0.8403 0.1232  8 Cu 2.72-2.87, 1 Sc 3.00
5 Cu 0.8434 0.8434 0.5452  6 Cu 2.54-2.64, 3 Sc 2.72-2.75
6 Cu 0.5313 0.5313 0.2693  5 Cu 2.54-2.81

For the total magnetization, the calculation gives 0.00 μB per formula unit. The calculation puts the energy of formation from the pure elements at -101 meV per atom. The calculated volume is 15.5 Å³/atom. The calculation puts the total energy at -4.942 eV per atom. As for the space-group type: C2/m, No. 12.

***

[9]
Entry from Alexandria via LeMat-Bulk: an optimized crystal structure of ReSi2Ru (PBE).

Cell lengths 4.2134, 4.2134, 5.0459 Å; angles 78.70, 78.70, 38.35 degrees
Closest atoms and distances in Å follow each position.
Fractional coordinates of all 4 atoms:
1 Ru 0.2500 0.2500 0.2500  6 Si 2.50-2.55, 2 Ru 2.77
2 Re 0.7500 0.7500 0.7500  6 Si 2.57-2.58, 2 Re 2.77, 4 Ru 2.88
3 Si 0.5032 0.5032 0.4887  3 Ru 2.50-2.55, 3 Re 2.57-2.58, 4 Si 2.77-2.79
4 Si 0.9968 0.9968 0.0113  3 Ru 2.50-2.55, 3 Re 2.57-2.58, 4 Si 2.77-2.79

For the total magnetization, the calculation gives 0.00 μB per formula unit. The calculated volume is 13.6 Å³/atom. The calculation puts the total energy at -8.337 eV per atom. As for the formation energy (no corrections): -195 meV/atom. As for the space-group type: C2/m, No. 12.

***

[10]
Entry from Alexandria via LeMat-Bulk: an optimized crystal structure of ZnSiP (PBE).

Cell lengths 3.9951, 4.9608, 5.9978 Å; angles 101.09, 96.14, 99.81 degrees
Closest atoms and distances in Å follow each position.
Fractional coordinates of all 6 atoms:
1 Si 0.8337 0.2117 0.0705  1 P 2.39, 2 Si 2.40-2.45, 1 Zn 2.44
2 P 0.4039 0.8370 0.4020  1 Si 2.26, 3 Zn 2.30-2.38
3 Zn 0.4509 0.2527 0.6632  3 P 2.30-2.44
4 Si 0.2629 0.9278 0.0525  2 P 2.26-2.34, 2 Si 2.40-2.45
5 P 0.0409 0.4898 0.8120  3 Zn 2.33-2.59, 2 Si 2.34-2.39
6 Zn 0.8544 0.5786 0.4089  3 P 2.35-2.59, 1 Si 2.44

For the total magnetization, the calculation gives 0.00 μB per formula unit. The calculated volume is 19.0 Å³/atom. The calculation puts the total energy at -4.080 eV per atom. As for the formation energy (no corrections): -44 meV/atom. For the energy above the most stable polymorph in this dataset, the calculation gives 0.092 eV per atom. As for the space-group type: P1, No. 1.

***

[11]
Entry from Alexandria via LeMat-Bulk: an optimized crystal structure of Nd4Al2Ag (PBE).

Cell lengths 5.2719, 5.2719, 9.0020 Å; angles 72.97, 72.97, 60.00 degrees
Closest atoms and distances in Å follow each position.
Fractional coordinates of all 7 atoms:
1 Nd 0.8713 0.8713 0.3861  4 Al 3.13-3.27, 1 Ag 3.27
2 Al 0.7480 0.7480 0.7561  8 Nd 3.13-3.27
3 Al 0.2520 0.2520 0.2439  8 Nd 3.13-3.27
4 Nd 0.6197 0.6197 0.1408  4 Al 3.17-3.26, 3 Ag 3.27
5 Nd 0.3803 0.3803 0.8592  4 Al 3.17-3.26, 3 Ag 3.27
6 Ag 0.0000 0.0000 0.0000  8 Nd 3.27
7 Nd 0.1287 0.1287 0.6139  4 Al 3.13-3.27, 1 Ag 3.27

For the total magnetization, the calculation gives 0.00 μB per formula unit. The calculation puts the energy of formation from the pure elements at -177 meV per atom. The calculated volume is 29.1 Å³/atom. The calculation puts the total energy at -4.379 eV per atom. As for the space-group type: R-3m, No. 166.

***

[12]
Entry from Alexandria via LeMat-Bulk: an optimized crystal structure of KCa2Ni (PBE).

Cell lengths 8.7067, 5.2166, 4.6251 Å; angles 90.04, 57.86, 126.78 degrees
Closest atoms and distances in Å follow each position.
Fractional coordinates of all 4 atoms:
1 Ni 0.5000 0.5000 0.0000  8 Ca 3.48-3.49, 4 K 3.69
2 K 0.0000 0.5000 0.5000  8 Ca 3.48-3.49, 4 Ni 3.69
3 Ca 0.5000 0.0000 0.5000  4 Ni 3.48-3.49, 4 K 3.48-3.49, 4 Ca 3.69
4 Ca 0.0000 0.0000 0.0000  4 K 3.48-3.49, 4 Ni 3.48-3.49, 4 Ca 3.69

For the total magnetization, the calculation gives 0.00 μB per formula unit. The calculation puts the energy of formation from the pure elements at 464 meV per atom. The calculated volume is 31.5 Å³/atom. The calculation puts the total energy at -2.256 eV per atom. For the energy above the most stable polymorph in this dataset, the calculation gives 0.402 eV per atom. As for the space-group type: Cmmm, No. 65.